1.
Entry from Alexandria via LeMat-Bulk: an optimized crystal structure of TaIrW2 (PBE-GGA).

Properties
Excess energy over the best structure of this formula in the dataset: 4.9 kJ/mol of atoms
E: -0.4301 Ha/atom
Calculated formation energy: -0.050 eV/atom

abc: 5.193 5.193 5.193
angles: 142.68 128.96 64.91
Fractional positions:
1 W 0.758 0.258 0.500
2 W 0.996 0.996 0.000
3 Ir 0.501 0.501 0.000
4 Ta 0.245 0.745 0.500



2.
Entry from Alexandria via LeMat-Bulk: an optimized crystal structure of Y4B3PdPt12 (PBE-GGA).

Properties
E: -0.2495 Ha/atom
Calculated formation energy: -0.612 eV/atom

abc: 7.732 7.732 7.732
angles: 109.47 109.47 109.47
Fractional positions:
1 Pt 0.250 0.500 0.750
2 Pt 0.500 0.750 0.250
3 Pt 0.719 0.000 0.719
4 Pt 0.250 0.750 0.500
5 Pt 0.719 0.719 0.000
6 Pt 0.000 0.281 0.281
7 Pt 0.281 0.000 0.281
8 Pt 0.750 0.250 0.500
9 Pt 0.500 0.250 0.750
10 Pt 0.281 0.281 0.000
11 Pt 0.000 0.719 0.719
12 Pt 0.750 0.500 0.250
13 B 0.000 0.500 0.500
14 B 0.500 0.500 0.000
15 B 0.500 0.000 0.500
16 Y 0.500 0.000 0.000
17 Y 0.000 0.500 0.000
18 Y 0.000 0.000 0.500
19 Y 0.500 0.500 0.500
20 Pd 0.000 0.000 0.000



Question: Look up the calculated formation energy of the first one.
Answer: -0.050 eV/atom